(1)
Below is a geometry-optimized Ca6Hg5Pd structure, with properties calculated at the PBE-GGA level.

Summary:
Formation energy = -556 meV/atom
Total magnetic moment = 0.00 μB/cell
VASP energy = -2.1149 eV/atom

a b c (Å): 8.4148 8.4148 7.4442
angles (deg): 90.00 90.00 143.12
Closest atoms and distances in Å follow each position.
Positions (direct):
Ca  0.0000  0.0000  0.2403  2 Pd 3.21, 6 Hg 3.23-3.31, 1 Ca 3.58
Ca  0.0000  0.0000  0.7597  2 Pd 3.21, 6 Hg 3.23-3.31, 1 Ca 3.58
Ca  0.3382  0.6618  0.2447  1 Pd 3.16, 7 Hg 3.21-3.32
Ca  0.3382  0.6618  0.7553  1 Pd 3.16, 7 Hg 3.21-3.32
Ca  0.6618  0.3382  0.2447  1 Pd 3.16, 7 Hg 3.21-3.32
Ca  0.6618  0.3382  0.7553  1 Pd 3.16, 7 Hg 3.21-3.32
Hg  0.1682  0.8318  0.0000  8 Ca 3.23-3.27
Hg  0.1680  0.8320  0.5000  8 Ca 3.27-3.32
Hg  0.5000  0.5000  0.5000  8 Ca 3.21-3.29
Hg  0.8318  0.1682  0.0000  8 Ca 3.23-3.27
Hg  0.8320  0.1680  0.5000  8 Ca 3.27-3.32
Pd  0.5000  0.5000  0.0000  8 Ca 3.16-3.21

---

(2)
Below is a geometry-optimized Ca3Hg2Pd2 structure, with properties calculated at the PBE-GGA level.

Summary:
Formation energy = -590 meV/atom
Total magnetic moment = 0.00 μB/cell
VASP energy = -3.0182 eV/atom

a b c (Å): 4.1371 21.9824 3.8479
angles (deg): 90.00 90.00 90.00
Closest atoms and distances in Å follow each position.
Positions (direct):
Ca  0.0000  0.0000  0.0000  8 Hg 3.35
Ca  0.0000  0.1742  0.0000  6 Pd 2.93-3.19
Ca  0.0000  0.8258  0.0000  6 Pd 2.93-3.19
Ca  0.5000  0.3258  0.0000  6 Pd 2.93-3.19
Ca  0.5000  0.5000  0.0000  8 Hg 3.35
Ca  0.5000  0.6742  0.0000  6 Pd 2.93-3.19
Hg  0.0000  0.4184  0.5000  1 Pd 2.82
Hg  0.0000  0.5816  0.5000  1 Pd 2.82
Hg  0.5000  0.0816  0.5000  1 Pd 2.82
Hg  0.5000  0.9184  0.5000  1 Pd 2.82
Pd  0.0000  0.2903  0.5000  2 Pd 2.72, 1 Hg 2.82, 4 Ca 2.93
Pd  0.0000  0.7097  0.5000  2 Pd 2.72, 1 Hg 2.82, 4 Ca 2.93
Pd  0.5000  0.2097  0.5000  2 Pd 2.72, 1 Hg 2.82, 4 Ca 2.93
Pd  0.5000  0.7903  0.5000  2 Pd 2.72, 1 Hg 2.82, 4 Ca 2.93

---

(3)
Below is a geometry-optimized Ca5Hg2Pd structure, with properties calculated at the PBE-GGA level.

Summary:
Formation energy = -485 meV/atom
Total magnetic moment = 0.00 μB/cell
VASP energy = -2.4608 eV/atom

a b c (Å): 8.2741 12.8218 4.5776
angles (deg): 90.00 90.00 90.00
Closest atoms and distances in Å follow each position.
Positions (direct):
Ca  0.0000  0.0000  0.0000  4 Hg 3.20
Ca  0.1537  0.3003  0.0000  1 Pd 2.86
Ca  0.1788  0.5812  0.5000  2 Pd 2.92
Ca  0.3212  0.0812  0.5000  2 Pd 2.92
Ca  0.3463  0.8003  0.0000  1 Pd 2.86
Ca  0.5000  0.5000  0.0000  4 Hg 3.20
Ca  0.6537  0.1997  0.0000  1 Pd 2.86
Ca  0.6788  0.9188  0.5000  2 Pd 2.92
Ca  0.8212  0.4188  0.5000  2 Pd 2.92
Ca  0.8463  0.6997  0.0000  1 Pd 2.86
Hg  0.0591  0.8301  0.5000  8 Ca 3.20-3.35
Hg  0.4409  0.3301  0.5000  8 Ca 3.20-3.35
Hg  0.5591  0.6699  0.5000  8 Ca 3.20-3.35
Hg  0.9409  0.1699  0.5000  8 Ca 3.20-3.35
Pd  0.0000  0.5000  0.0000  6 Ca 2.86-2.92
Pd  0.5000  0.0000  0.0000  6 Ca 2.86-2.92

---

(4)
Below is a geometry-optimized CaHg3Pd6 structure, with properties calculated at the PBE-GGA level.

Summary:
Formation energy = -285 meV/atom
Total magnetic moment = 0.00 μB/cell
VASP energy = -3.6915 eV/atom

a b c (Å): 8.8026 4.3490 9.4814
angles (deg): 90.00 96.17 90.00
Closest atoms and distances in Å follow each position.
Positions (direct):
Ca  0.0604  0.2500  0.3826  10 Pd 2.86-3.15
Ca  0.9396  0.7500  0.6174  10 Pd 2.86-3.15
Hg  0.2455  0.2500  0.0202  10 Pd 2.78-2.99
Hg  0.3434  0.7500  0.8076  8 Pd 2.82-2.89, 4 Hg 3.10-3.15
Hg  0.4451  0.2500  0.6039  8 Pd 2.82-2.90, 4 Hg 3.10-3.16
Hg  0.5549  0.7500  0.3961  8 Pd 2.82-2.90, 4 Hg 3.10-3.16
Hg  0.6566  0.2500  0.1924  8 Pd 2.82-2.89, 4 Hg 3.10-3.15
Hg  0.7545  0.7500  0.9798  10 Pd 2.78-2.99
Pd  0.0550  0.7500  0.9116  4 Hg 2.79-2.87, 7 Pd 2.85-3.06, 1 Ca 2.86
Pd  0.1516  0.2500  0.7129  4 Hg 2.84-2.94, 5 Pd 2.88-3.15, 3 Ca 2.94-3.15
Pd  0.1549  0.7500  0.2083  8 Pd 2.85-3.00, 2 Ca 2.91, 2 Hg 2.97
Pd  0.2596  0.7500  0.5047  4 Hg 2.82-2.90, 5 Pd 2.86-3.15, 3 Ca 2.95-3.12
Pd  0.3647  0.2500  0.3040  5 Hg 2.78-2.88, 1 Ca 2.86, 6 Pd 2.93-3.10
Pd  0.4541  0.7500  0.0996  7 Hg 2.83-2.99, 5 Pd 2.93-3.07
Pd  0.5459  0.2500  0.9004  7 Hg 2.83-2.99, 5 Pd 2.93-3.07
Pd  0.6353  0.7500  0.6960  5 Hg 2.78-2.88, 1 Ca 2.86, 6 Pd 2.93-3.10
Pd  0.7404  0.2500  0.4953  4 Hg 2.82-2.90, 5 Pd 2.86-3.15, 3 Ca 2.95-3.12
Pd  0.8451  0.2500  0.7917  8 Pd 2.85-3.00, 2 Ca 2.91, 2 Hg 2.97
Pd  0.8484  0.7500  0.2871  4 Hg 2.84-2.94, 5 Pd 2.88-3.15, 3 Ca 2.94-3.15
Pd  0.9450  0.2500  0.0884  4 Hg 2.79-2.87, 7 Pd 2.85-3.06, 1 Ca 2.86

---

(5)
Below is a geometry-optimized Ca11Hg9Pd4 structure, with properties calculated at the PBE-GGA level.

Summary:
Formation energy = -579 meV/atom
Total magnetic moment = 0.00 μB/cell
VASP energy = -2.4748 eV/atom

a b c (Å): 13.0899 13.0899 3.8556
angles (deg): 90.00 90.00 112.37
Closest atoms and distances in Å follow each position.
Positions (direct):
Ca  0.0000  0.0000  0.0000  8 Hg 3.26
Ca  0.0751  0.4131  0.0000  2 Pd 2.96, 4 Hg 3.17-3.20
Ca  0.1682  0.8318  0.0000  8 Hg 3.27-3.42, 3 Ca 3.56-3.66
Ca  0.2922  0.2922  0.0000  4 Pd 2.98
Ca  0.3668  0.6332  0.0000  4 Pd 2.99
Ca  0.4131  0.0751  0.0000  2 Pd 2.96, 4 Hg 3.17-3.20
Ca  0.5869  0.9249  0.0000  2 Pd 2.96, 4 Hg 3.17-3.20
Ca  0.6332  0.3668  0.0000  4 Pd 2.99
Ca  0.7078  0.7078  0.0000  4 Pd 2.98
Ca  0.8318  0.1682  0.0000  8 Hg 3.27-3.42, 3 Ca 3.56-3.66
Ca  0.9249  0.5869  0.0000  2 Pd 2.96, 4 Hg 3.17-3.20
Hg  0.0613  0.2155  0.5000  1 Pd 3.16, 8 Ca 3.17-3.42, 1 Hg 3.36
Hg  0.1520  0.6241  0.5000  1 Pd 3.09, 8 Ca 3.20-3.42, 1 Hg 3.26
Hg  0.2155  0.0613  0.5000  1 Pd 3.16, 8 Ca 3.17-3.42, 1 Hg 3.36
Hg  0.3759  0.8480  0.5000  1 Pd 3.09, 8 Ca 3.20-3.42, 1 Hg 3.26
Hg  0.5000  0.5000  0.5000  4 Pd 2.99
Hg  0.6241  0.1520  0.5000  1 Pd 3.09, 8 Ca 3.20-3.42, 1 Hg 3.26
Hg  0.7845  0.9387  0.5000  1 Pd 3.16, 8 Ca 3.17-3.42, 1 Hg 3.36
Hg  0.8480  0.3759  0.5000  1 Pd 3.09, 8 Ca 3.20-3.42, 1 Hg 3.26
Hg  0.9387  0.7845  0.5000  1 Pd 3.16, 8 Ca 3.17-3.42, 1 Hg 3.36
Pd  0.2573  0.4493  0.5000  6 Ca 2.96-2.99, 3 Hg 2.99-3.16
Pd  0.4493  0.2573  0.5000  6 Ca 2.96-2.99, 3 Hg 2.99-3.16
Pd  0.5507  0.7427  0.5000  6 Ca 2.96-2.99, 3 Hg 2.99-3.16
Pd  0.7427  0.5507  0.5000  6 Ca 2.96-2.99, 3 Hg 2.99-3.16

---

(6)
Below is a geometry-optimized CaHg5Pd structure, with properties calculated at the PBE-GGA level.

Summary:
Formation energy = -280 meV/atom
Total magnetic moment = 0.00 μB/cell
VASP energy = -1.5237 eV/atom

a b c (Å): 4.8138 4.8138 7.4255
angles (deg): 90.00 90.00 90.00
Closest atoms and distances in Å follow each position.
Positions (direct):
Ca  0.0000  0.0000  0.0000  12 Hg 3.25-3.40
Hg  0.0000  0.5000  0.2933  2 Pd 2.85, 1 Hg 3.07
Hg  0.0000  0.5000  0.7067  2 Pd 2.85, 1 Hg 3.07
Hg  0.5000  0.0000  0.2933  2 Pd 2.85, 1 Hg 3.07
Hg  0.5000  0.0000  0.7067  2 Pd 2.85, 1 Hg 3.07
Hg  0.5000  0.5000  0.0000  8 Hg 3.25, 4 Ca 3.40
Pd  0.0000  0.0000  0.5000  8 Hg 2.85

---

(7)
Below is a geometry-optimized CaHg3Pd3 structure, with properties calculated at the PBE-GGA level.

Summary:
Formation energy = 159 meV/atom
Total magnetic moment = 0.00 μB/cell
VASP energy = -2.4816 eV/atom

a b c (Å): 7.4232 7.4232 7.4232
angles (deg): 90.00 90.00 90.00
Closest atoms and distances in Å follow each position.
Positions (direct):
Ca  0.0000  0.0000  0.0000  12 Hg 4.15, 12 Pd 4.15
Ca  0.5000  0.5000  0.5000  12 Hg 4.15, 12 Pd 4.15
Hg  0.0000  0.2500  0.5000  4 Pd 2.62
Hg  0.0000  0.7500  0.5000  4 Pd 2.62
Hg  0.2500  0.5000  0.0000  4 Pd 2.62
Hg  0.5000  0.0000  0.2500  4 Pd 2.62
Hg  0.5000  0.0000  0.7500  4 Pd 2.62
Hg  0.7500  0.5000  0.0000  4 Pd 2.62
Pd  0.0000  0.5000  0.2500  4 Hg 2.62
Pd  0.0000  0.5000  0.7500  4 Hg 2.62
Pd  0.2500  0.0000  0.5000  4 Hg 2.62
Pd  0.5000  0.2500  0.0000  4 Hg 2.62
Pd  0.5000  0.7500  0.0000  4 Hg 2.62
Pd  0.7500  0.0000  0.5000  4 Hg 2.62

---

(8)
Below is a geometry-optimized Ca3Hg2Pd3 structure, with properties calculated at the PBE-GGA level.

Summary:
Formation energy = -604 meV/atom
Total magnetic moment = 0.00 μB/cell
VASP energy = -3.3773 eV/atom

a b c (Å): 6.2119 6.2119 14.5929
angles (deg): 90.00 90.00 138.29
Closest atoms and distances in Å follow each position.
Positions (direct):
Ca  0.0694  0.9306  0.6082  6 Pd 3.08-3.19, 2 Hg 3.23
Ca  0.0694  0.9306  0.8918  6 Pd 3.08-3.19, 2 Hg 3.23
Ca  0.3485  0.6515  0.7500  3 Pd 3.02-3.15, 4 Hg 3.27
Ca  0.6515  0.3485  0.2500  3 Pd 3.02-3.15, 4 Hg 3.27
Ca  0.9306  0.0694  0.1082  6 Pd 3.08-3.19, 2 Hg 3.23
Ca  0.9306  0.0694  0.3918  6 Pd 3.08-3.19, 2 Hg 3.23
Hg  0.2282  0.7718  0.0970  4 Pd 2.77-2.91
Hg  0.2282  0.7718  0.4030  4 Pd 2.77-2.91
Hg  0.7718  0.2282  0.5970  4 Pd 2.77-2.91
Hg  0.7718  0.2282  0.9030  4 Pd 2.77-2.91
Pd  0.3803  0.6197  0.2500  2 Hg 2.85, 5 Ca 3.08-3.15
Pd  0.4016  0.5984  0.5473  1 Pd 2.67, 3 Hg 2.77-2.91
Pd  0.4016  0.5984  0.9527  1 Pd 2.67, 3 Hg 2.77-2.91
Pd  0.5984  0.4016  0.0473  1 Pd 2.67, 3 Hg 2.77-2.91
Pd  0.5984  0.4016  0.4527  1 Pd 2.67, 3 Hg 2.77-2.91
Pd  0.6197  0.3803  0.7500  2 Hg 2.85, 5 Ca 3.08-3.15

---

(9)
Below is a geometry-optimized Ca3Hg3Pd2 structure, with properties calculated at the PBE-GGA level.

Summary:
Polymorph energy (0 for the lowest one) = 9 meV/atom
Formation energy = -568 meV/atom
Total magnetic moment = 0.00 μB/cell
VASP energy = -2.7299 eV/atom

a b c (Å): 7.8972 17.0222 5.8920
angles (deg): 90.00 90.00 90.00
Closest atoms and distances in Å follow each position.
Positions (direct):
Ca  0.0359  0.1091  0.1158  3 Pd 3.08-3.19, 5 Hg 3.24-3.29
Ca  0.0359  0.3909  0.1158  3 Pd 3.08-3.19, 5 Hg 3.24-3.29
Ca  0.1656  0.2500  0.6443  3 Hg 3.13-3.25, 4 Pd 3.14
Ca  0.3344  0.7500  0.1443  3 Hg 3.13-3.25, 4 Pd 3.14
Ca  0.4641  0.6091  0.6158  3 Pd 3.08-3.19, 5 Hg 3.24-3.29
Ca  0.4641  0.8909  0.6158  3 Pd 3.08-3.19, 5 Hg 3.24-3.29
Ca  0.5359  0.1091  0.3842  3 Pd 3.08-3.19, 5 Hg 3.24-3.29
Ca  0.5359  0.3909  0.3842  3 Pd 3.08-3.19, 5 Hg 3.24-3.29
Ca  0.6656  0.2500  0.8557  3 Hg 3.13-3.25, 4 Pd 3.14
Ca  0.8344  0.7500  0.3557  3 Hg 3.13-3.25, 4 Pd 3.14
Ca  0.9641  0.6091  0.8842  3 Pd 3.08-3.19, 5 Hg 3.24-3.29
Ca  0.9641  0.8909  0.8842  3 Pd 3.08-3.19, 5 Hg 3.24-3.29
Hg  0.1808  0.7500  0.6538  2 Pd 2.78
Hg  0.1854  0.0327  0.5869  3 Pd 2.78-2.91
Hg  0.1854  0.4673  0.5869  3 Pd 2.78-2.91
Hg  0.3146  0.5327  0.0869  3 Pd 2.78-2.91
Hg  0.3146  0.9673  0.0869  3 Pd 2.78-2.91
Hg  0.3192  0.2500  0.1538  2 Pd 2.78
Hg  0.6808  0.7500  0.8462  2 Pd 2.78
Hg  0.6854  0.0327  0.9131  3 Pd 2.78-2.91
Hg  0.6854  0.4673  0.9131  3 Pd 2.78-2.91
Hg  0.8146  0.5327  0.4131  3 Pd 2.78-2.91
Hg  0.8146  0.9673  0.4131  3 Pd 2.78-2.91
Hg  0.8192  0.2500  0.3462  2 Pd 2.78
Pd  0.1155  0.6197  0.3826  4 Hg 2.78-2.91, 1 Ca 3.08
Pd  0.1155  0.8803  0.3826  4 Hg 2.78-2.91, 1 Ca 3.08
Pd  0.3845  0.1197  0.8826  4 Hg 2.78-2.91, 1 Ca 3.08
Pd  0.3845  0.3803  0.8826  4 Hg 2.78-2.91, 1 Ca 3.08
Pd  0.6155  0.6197  0.1174  4 Hg 2.78-2.91, 1 Ca 3.08
Pd  0.6155  0.8803  0.1174  4 Hg 2.78-2.91, 1 Ca 3.08
Pd  0.8845  0.1197  0.6174  4 Hg 2.78-2.91, 1 Ca 3.08
Pd  0.8845  0.3803  0.6174  4 Hg 2.78-2.91, 1 Ca 3.08

---

(10)
Below is a geometry-optimized CaHg2Pd9 structure, with properties calculated at the PBE-GGA level.

Summary:
Formation energy = -222 meV/atom
Total magnetic moment = 0.00 μB/cell
VASP energy = -4.3342 eV/atom

a b c (Å): 4.0690 4.0690 12.2924
angles (deg): 90.00 90.00 90.00
Closest atoms and distances in Å follow each position.
Positions (direct):
Ca  0.0000  0.0000  0.0000  12 Pd 2.88-2.94
Hg  0.0000  0.0000  0.3367  12 Pd 2.86-2.88
Hg  0.0000  0.0000  0.6633  12 Pd 2.86-2.88
Pd  0.0000  0.5000  0.1721  8 Pd 2.84-2.94, 2 Hg 2.87, 2 Ca 2.94
Pd  0.0000  0.5000  0.5000  4 Hg 2.86, 8 Pd 2.88
Pd  0.0000  0.5000  0.8279  8 Pd 2.84-2.94, 2 Hg 2.87, 2 Ca 2.94
Pd  0.5000  0.0000  0.1721  8 Pd 2.84-2.94, 2 Hg 2.87, 2 Ca 2.94
Pd  0.5000  0.0000  0.5000  4 Hg 2.86, 8 Pd 2.88
Pd  0.5000  0.0000  0.8279  8 Pd 2.84-2.94, 2 Hg 2.87, 2 Ca 2.94
Pd  0.5000  0.5000  0.0000  4 Ca 2.88, 8 Pd 2.94
Pd  0.5000  0.5000  0.3338  8 Pd 2.84-2.88, 4 Hg 2.88
Pd  0.5000  0.5000  0.6662  8 Pd 2.84-2.88, 4 Hg 2.88

---

(11)
Below is a geometry-optimized Ca8Hg2Pd3 structure, with properties calculated at the PBE-GGA level.

Summary:
Formation energy = -476 meV/atom
Total magnetic moment = 0.00 μB/cell
VASP energy = -2.9521 eV/atom

a b c (Å): 8.9163 8.9163 5.1423
angles (deg): 90.00 90.00 109.49
Closest atoms and distances in Å follow each position.
Positions (direct):
Ca  0.1170  0.8830  0.0000  4 Pd 3.08-3.09, 2 Hg 3.22, 1 Ca 3.41
Ca  0.1292  0.3652  0.5000  3 Pd 3.07-3.09, 2 Hg 3.19-3.23, 1 Ca 3.44
Ca  0.3652  0.1292  0.5000  3 Pd 3.07-3.09, 2 Hg 3.19-3.23, 1 Ca 3.44
Ca  0.3817  0.6183  0.0000  2 Pd 3.09, 2 Hg 3.21, 1 Ca 3.44
Ca  0.6183  0.3817  0.0000  2 Pd 3.09, 2 Hg 3.21, 1 Ca 3.44
Ca  0.6348  0.8708  0.5000  3 Pd 3.07-3.09, 2 Hg 3.19-3.23, 1 Ca 3.44
Ca  0.8708  0.6348  0.5000  3 Pd 3.07-3.09, 2 Hg 3.19-3.23, 1 Ca 3.44
Ca  0.8830  0.1170  0.0000  4 Pd 3.08-3.09, 2 Hg 3.22, 1 Ca 3.41
Hg  0.2500  0.7500  0.5000  8 Ca 3.19-3.23
Hg  0.7500  0.2500  0.5000  8 Ca 3.19-3.23
Pd  0.0000  0.0000  0.5000  8 Ca 3.07-3.08
Pd  0.2504  0.2504  0.0000  8 Ca 3.09
Pd  0.7496  0.7496  0.0000  8 Ca 3.09

---

(12)
Below is a geometry-optimized Ca5Hg4Pd structure, with properties calculated at the PBE-GGA level.

Summary:
Formation energy = -565 meV/atom
Total magnetic moment = 0.00 μB/cell
VASP energy = -2.2060 eV/atom

a b c (Å): 3.7074 3.7074 18.9895
angles (deg): 90.00 90.00 90.00
Closest atoms and distances in Å follow each position.
Positions (direct):
Ca  0.0000  0.0000  0.0000  8 Hg 3.26
Ca  0.0000  0.0000  0.2054  8 Hg 3.27
Ca  0.0000  0.0000  0.4110  4 Pd 3.12, 4 Hg 3.27, 1 Ca 3.38
Ca  0.0000  0.0000  0.5890  4 Pd 3.12, 4 Hg 3.27, 1 Ca 3.38
Ca  0.0000  0.0000  0.7946  8 Hg 3.27
Hg  0.5000  0.5000  0.1023  8 Ca 3.26-3.27
Hg  0.5000  0.5000  0.3084  8 Ca 3.27, 1 Pd 3.64
Hg  0.5000  0.5000  0.6916  8 Ca 3.27, 1 Pd 3.64
Hg  0.5000  0.5000  0.8977  8 Ca 3.26-3.27
Pd  0.5000  0.5000  0.5000  8 Ca 3.12